[1]
Compound: SrTi3C
Source: Alexandria
Functional: GGA-PBE
Structure: optimized geometry

a b c (Å): 4.6739 4.6739 4.6739
angles (deg): 90.00 90.00 90.00
Last column: nearest neighbours and their distance in Å.
Sites, in units of the cell vectors:
C1 0.5000 0.5000 0.5000  12 Ti 3.30
Ti1 0.0000 0.0000 0.5000  2 Sr 2.34
Ti2 0.5000 0.0000 0.0000  2 Sr 2.34
Ti3 0.0000 0.5000 0.0000  2 Sr 2.34
Sr1 0.0000 0.0000 0.0000  6 Ti 2.34

***

[2]
Compound: SrTiC3
Source: Alexandria
Functional: GGA-PBE
Structure: optimized geometry

a b c (Å): 4.1469 4.1469 4.1469
angles (deg): 90.00 90.00 90.00
Last column: nearest neighbours and their distance in Å.
Sites, in units of the cell vectors:
Ti1 0.0000 0.0000 0.0000  6 C 2.07
C1 0.0000 0.5000 0.0000  2 Ti 2.07
C2 0.5000 0.0000 0.0000  2 Ti 2.07
C3 0.0000 0.0000 0.5000  2 Ti 2.07
Sr1 0.5000 0.5000 0.5000  12 C 2.93

***

[3]
Compound: SrTi3C
Source: Alexandria
Functional: GGA-PBE
Structure: optimized geometry

a b c (Å): 4.4691 4.4691 4.4691
angles (deg): 90.00 90.00 90.00
Last column: nearest neighbours and their distance in Å.
Sites, in units of the cell vectors:
C1 0.0000 0.0000 0.0000  6 Ti 2.23
Sr1 0.5000 0.5000 0.5000  12 Ti 3.16
Ti1 0.0000 0.5000 0.0000  2 C 2.23
Ti2 0.5000 0.0000 0.0000  2 C 2.23
Ti3 0.0000 0.0000 0.5000  2 C 2.23

***

Respective energy of formation values: 3.11, 0.98, 0.31 eV/atom.